First-principles (PBE with a Hubbard U) data for a relaxed structure of CoF3, as listed in the Alexandria database.

Calculated values
E_tot = -3.31 eV/atom

Structure (CIF):
```
data_CoF3
_cell_length_a 2.8128
_cell_length_b 2.8128
_cell_length_c 25.6450
_cell_angle_alpha 90.00
_cell_angle_beta 90.00
_cell_angle_gamma 120.00
_space_group_name_H-M_alt 'R -3 m'
_space_group_IT_number 166
_space_group_name_Hall '-R 3 2"'
loop_
_atom_site_label
_atom_site_type_symbol
_atom_site_fract_x
_atom_site_fract_y
_atom_site_fract_z
Co1 Co 0.0000 0.0000 0.0000
F1 F 0.0000 0.0000 0.0660
F2 F 0.0000 0.0000 0.5000
```